# 1
Below is crystalline Li7Pt2 at its relaxed geometry, with properties calculated at the PBE level.

Cell: 4.3372 4.3372 7.8865 Å, 90.00 90.00 120.00°
Fractional positions:
Li (0.3333, 0.6667, 0.1052)
Li (0.6667, 0.3333, 0.8948)
Li (0.3333, 0.6667, 0.4311)
Li (0.6667, 0.3333, 0.5689)
Li (0.0000, 0.0000, 0.3197)
Li (0.0000, 0.0000, 0.6803)
Li (0.0000, 0.0000, 0.0000)
Pt (0.3333, 0.6667, 0.7671)
Pt (0.6667, 0.3333, 0.2329)

Symmetry = No. 164
Volume = 128.48 Å³/cell
Total moment = 0.00 μB/f.u.
Formation enthalpy at 0 K = -3.6 eV/f.u.

# 2
Below is crystalline TaNb5C4 at its relaxed geometry, with properties calculated at the PBE level.

Cell: 3.1434 6.2969 7.0637 Å, 103.52 102.86 90.00°
Fractional positions:
Ta (0.5000, 0.0000, 0.0000)
Nb (0.1667, 0.3281, 0.3334)
Nb (0.1662, 0.8454, 0.3325)
Nb (0.8338, 0.1546, 0.6675)
Nb (0.5000, 0.5000, 0.0000)
Nb (0.8333, 0.6719, 0.6666)
C (0.6663, 0.0870, 0.3327)
C (0.0028, 0.2515, 0.0055)
C (0.3337, 0.9130, 0.6673)
C (0.9972, 0.7485, 0.9945)

Symmetry = No. 12
Volume = 132.34 Å³/cell
Total moment = 0.00 μB/f.u.
Formation enthalpy at 0 K = -5.1 eV/f.u.

# 3
Below is crystalline V3Co2H at its relaxed geometry, with properties calculated at the PBE level.

Cell: 4.1658 5.1513 6.4627 Å, 105.38 108.80 90.00°
Fractional positions:
V (0.5000, 0.2500, 0.0000)
V (0.5000, 0.7500, 0.0000)
V (0.1254, 0.1407, 0.2509)
V (0.8745, 0.3593, 0.7491)
V (0.1255, 0.6407, 0.2509)
V (0.8746, 0.8593, 0.7491)
Co (0.6901, 0.4783, 0.3802)
Co (0.6901, 0.9783, 0.3802)
Co (0.3099, 0.0217, 0.6198)
Co (0.3099, 0.5217, 0.6198)
H (0.9996, 0.7500, 0.0000)
H (0.0004, 0.2500, 0.0000)

Symmetry = No. 12
Volume = 126.03 Å³/cell
Total moment = 0.00 μB/f.u.
Total DFT energy (no corrections) = -7.58 eV per atom